Computed, not measured: NpNi2SnO6 after structural relaxation at the GGA+U level of DFT.

```
10
Lattice="5.9892 0.0000 0.0000 0.0000 5.9892 0.0000 0.0000 0.0000 4.0330" Properties=species:S:1:pos:R:3 pbc="T T T"
Np 0.0000 0.0000 0.0000
Ni 0.0000 2.9946 0.0075
Ni 2.9946 0.0000 0.0075
Sn 2.9946 2.9946 0.0014
O 0.0000 0.0000 2.0166
O 1.4872 1.4872 0.0023
O 1.4872 4.5020 0.0023
O 2.9946 2.9946 2.0180
O 4.5020 1.4872 0.0023
O 4.5020 4.5020 0.0023
```

## Properties
Space-group type: P4mm, No. 99
E_tot: -6.66 eV per atom